# CrHg3, optimized geometry, DFT PBE-GGA
data_CrHg3
_cell_length_a 5.5177
_cell_length_b 5.5177
_cell_length_c 5.5177
_cell_angle_alpha 90.00
_cell_angle_beta 90.00
_cell_angle_gamma 90.00
_symmetry_space_group_name_H-M 'P m -3 m'
_symmetry_Int_Tables_number 221
_symmetry_space_group_name_Hall '-P 4 2 3'
loop_
_atom_site_label
_atom_site_type_symbol
_atom_site_fract_x
_atom_site_fract_y
_atom_site_fract_z
_atom_site_occupancy
Cr1 Cr 0.0000 0.0000 0.0000 1
Hg1 Hg 0.0000 0.0000 0.5000 1
# M_tot ... 1.2657 μB per atom
# Energy relative to the elements ... 456 meV/atom